SrTlSbCl6: relaxed, PBE.

CIF file:
```
data_SrTlSbCl6
_cell_length_a 7.3333
_cell_length_b 7.3333
_cell_length_c 6.8807
_cell_angle_alpha 90.00
_cell_angle_beta 90.00
_cell_angle_gamma 120.00
_space_group_name_H-M_alt 'P 3 1 2'
_space_group_IT_number 149
_space_group_name_Hall 'P 3 2'
loop_
_atom_site_label
_atom_site_fract_x
_atom_site_fract_y
_atom_site_fract_z
Sr1 0.0000 0.0000 0.0000
Tl1 0.6667 0.3333 0.5000
Sb1 0.3333 0.6667 0.0000
Cl1 0.0420 0.3570 0.2228
```

Summary:
- M_tot (μB per formula unit) = 0.00
- formation energy (no corrections) (kcal/mol of atoms) = -33.3


BaSbN2F: relaxed, PBE.

CIF file:
```
data_BaSbN2F
_cell_length_a 4.198
_cell_length_b 4.198
_cell_length_c 4.624
_cell_angle_alpha 90.00
_cell_angle_beta 90.00
_cell_angle_gamma 90.00
_space_group_name_H-M_alt 'P 4/m m m'
_space_group_IT_number 123
_space_group_name_Hall '-P 4 2'
loop_
_atom_site_label
_atom_site_fract_x
_atom_site_fract_y
_atom_site_fract_z
Ba1 0.000 0.000 0.000
Sb1 0.500 0.500 0.500
N1 0.000 0.500 0.500
F1 0.500 0.500 0.000
```

Summary:
- energy above the lowest structure with this stoichiometry (eV/f.u.) = 0.00
- M_tot (μB per formula unit) = 0.00
- formation energy (no corrections) (kcal/mol of atoms) = -15.3


Tm4In2Hg5: relaxed, PBE.

CIF file:
```
data_Tm4In2Hg5
_cell_length_a 8.006
_cell_length_b 3.503
_cell_length_c 9.924
_cell_angle_alpha 90.00
_cell_angle_beta 97.20
_cell_angle_gamma 90.00
_space_group_name_H-M_alt 'P 1 2/m 1'
_space_group_IT_number 10
_space_group_name_Hall '-P 2y'
loop_
_atom_site_label
_atom_site_fract_x
_atom_site_fract_y
_atom_site_fract_z
Tm1 0.186 0.000 0.397
Tm2 0.273 0.000 0.926
In1 0.077 0.500 0.137
Hg1 0.161 0.500 0.653
Hg2 0.452 0.500 0.188
Hg3 0.500 0.500 0.500
```

Summary:
- M_tot (μB per formula unit) = 0.00
- energy of formation (meV per atom) = -341


CdSBr: relaxed, PBE.

CIF file:
```
data_CdSBr
_cell_length_a 14.335
_cell_length_b 3.998
_cell_length_c 5.804
_cell_angle_alpha 90.00
_cell_angle_beta 101.34
_cell_angle_gamma 90.00
_space_group_name_H-M_alt 'C 1 2/m 1'
_space_group_IT_number 12
_space_group_name_Hall '-C 2y'
loop_
_atom_site_label
_atom_site_fract_x
_atom_site_fract_y
_atom_site_fract_z
Cd1 0.153 0.000 0.185
S1 0.036 0.500 0.176
Br1 0.192 0.000 0.720
```

Summary:
- energy above the lowest structure with this stoichiometry (eV/f.u.) = 0.00
- M_tot (μB per formula unit) = 0.00
- formation energy (no corrections) (kcal/mol of atoms) = -12.4


Tm2Ni2Sn: relaxed, PBE.

CIF file:
```
data_Tm2Ni2Sn
_cell_length_a 7.332
_cell_length_b 7.332
_cell_length_c 3.584
_cell_angle_alpha 90.00
_cell_angle_beta 90.00
_cell_angle_gamma 90.00
_space_group_name_H-M_alt 'P 4/m b m'
_space_group_IT_number 127
_space_group_name_Hall '-P 4 2ab'
loop_
_atom_site_label
_atom_site_fract_x
_atom_site_fract_y
_atom_site_fract_z
Tm1 0.173 0.327 0.000
Ni1 0.120 0.620 0.500
Sn1 0.000 0.000 0.500
```

Summary:
- M_tot (μB per formula unit) = 0.00
- energy of formation (meV per atom) = -620


Sm2DyHo6Sc: relaxed, PBE.

CIF file:
```
data_Sm2DyHo6Sc
_cell_length_a 8.978
_cell_length_b 14.781
_cell_length_c 9.517
_cell_angle_alpha 90.00
_cell_angle_beta 98.54
_cell_angle_gamma 90.00
_space_group_name_H-M_alt 'C 1 2/c 1'
_space_group_IT_number 15
_space_group_name_Hall '-C 2yc'
loop_
_atom_site_label
_atom_site_fract_x
_atom_site_fract_y
_atom_site_fract_z
Sm1 0.249 0.051 0.046
Dy1 0.000 0.019 0.750
Ho1 0.063 0.190 0.443
Ho2 0.101 0.395 0.617
Ho3 0.210 0.220 0.810
Sc1 0.000 0.411 0.250
```

Summary:
- M_tot (μB per formula unit) = 0.00
- energy of formation (meV per atom) = 124


BaPaTe4: relaxed, PBE.

CIF file:
```
data_BaPaTe4
_cell_length_a 10.535
_cell_length_b 13.924
_cell_length_c 7.588
_cell_angle_alpha 90.00
_cell_angle_beta 124.71
_cell_angle_gamma 90.00
_space_group_name_H-M_alt 'C 1 2/c 1'
_space_group_IT_number 15
_space_group_name_Hall '-C 2yc'
loop_
_atom_site_label
_atom_site_fract_x
_atom_site_fract_y
_atom_site_fract_z
Ba1 0.000 0.133 0.250
Pa1 0.000 0.499 0.250
Te1 0.113 0.335 0.597
Te2 0.230 0.067 0.793
```

Summary:
- energy above the lowest structure with this stoichiometry (eV/f.u.) = 0.00
- M_tot (μB per formula unit) = 0.00
- formation energy (no corrections) (kcal/mol of atoms) = -22.2


Cs2LiCeI5: relaxed, PBE.

CIF file:
```
data_Cs2LiCeI5
_cell_length_a 4.657
_cell_length_b 22.545
_cell_length_c 16.298
_cell_angle_alpha 90.00
_cell_angle_beta 90.00
_cell_angle_gamma 90.00
_space_group_name_H-M_alt 'C m c 21'
_space_group_IT_number 36
_space_group_name_Hall 'C 2c -2'
loop_
_atom_site_label
_atom_site_fract_x
_atom_site_fract_y
_atom_site_fract_z
Cs1 0.000 0.114 0.000
Cs2 0.000 0.127 0.631
Li1 0.000 0.434 0.746
Ce1 0.000 0.202 0.332
I1 0.000 0.058 0.342
I2 0.000 0.290 0.974
I3 0.000 0.311 0.688
I4 0.000 0.344 0.317
I5 0.000 0.496 0.604
```

Summary:
- M_tot (μB per formula unit) = 1.92
- formation energy (no corrections) (kcal/mol of atoms) = -30.8


Rb2AlGaSe4: relaxed, PBE.

CIF file:
```
data_Rb2AlGaSe4
_cell_length_a 6.127
_cell_length_b 14.338
_cell_length_c 24.623
_cell_angle_alpha 90.00
_cell_angle_beta 90.00
_cell_angle_gamma 90.00
_space_group_name_H-M_alt 'F d d d'
_space_group_IT_number 70
loop_
_space_group_symop_operation_xyz
'x,y,z'
'-x,-y,-z'
'-x+1/4,-y+1/4,z'
'x+1/4,y+1/4,-z'
'x,-y+1/4,-z+1/4'
'-x,y+1/4,z+1/4'
'-x+1/4,y,-z+1/4'
'x+1/4,-y,z+1/4'
'x,y+1/2,z+1/2'
'-x,-y+1/2,-z+1/2'
'-x+1/4,-y+3/4,z+1/2'
'x+1/4,y+3/4,-z+1/2'
'x,-y+3/4,-z+3/4'
'-x,y+3/4,z+3/4'
'-x+1/4,y+1/2,-z+3/4'
'x+1/4,-y+1/2,z+3/4'
'x+1/2,y,z+1/2'
'-x+1/2,-y,-z+1/2'
'-x+3/4,-y+1/4,z+1/2'
'x+3/4,y+1/4,-z+1/2'
'x+1/2,-y+1/4,-z+3/4'
'-x+1/2,y+1/4,z+3/4'
'-x+3/4,y,-z+3/4'
'x+3/4,-y,z+3/4'
'x+1/2,y+1/2,z'
'-x+1/2,-y+1/2,-z'
'-x+3/4,-y+3/4,z'
'x+3/4,y+3/4,-z'
'x+1/2,-y+3/4,-z+1/4'
'-x+1/2,y+3/4,z+1/4'
'-x+3/4,y+1/2,-z+1/4'
'x+3/4,-y+1/2,z+1/4'
loop_
_atom_site_label
_atom_site_fract_x
_atom_site_fract_y
_atom_site_fract_z
Rb1 0.125 0.125 0.306
Al1 0.125 0.125 0.125
Ga1 0.125 0.125 0.625
Se1 0.121 0.281 0.428
```

Summary:
- M_tot (μB per formula unit) = 0.00
- formation energy (no corrections) (kcal/mol of atoms) = -24.3


La4I2N: relaxed, PBE.

CIF file:
```
data_La4I2N
_cell_length_a 4.954
_cell_length_b 4.954
_cell_length_c 16.631
_cell_angle_alpha 90.00
_cell_angle_beta 90.00
_cell_angle_gamma 90.00
_space_group_name_H-M_alt 'I 4/m m m'
_space_group_IT_number 139
_space_group_name_Hall '-I 4 2'
loop_
_atom_site_label
_atom_site_fract_x
_atom_site_fract_y
_atom_site_fract_z
La1 0.000 0.000 0.159
La2 0.000 0.500 0.000
I1 0.000 0.000 0.359
N1 0.000 0.000 0.000
```

Summary:
- M_tot (μB per formula unit) = 0.00
- formation energy (no corrections) (kcal/mol of atoms) = -18.8


Na3Tl2In2: relaxed, PBE.

CIF file:
```
data_Na3Tl2In2
_cell_length_a 9.387
_cell_length_b 5.339
_cell_length_c 8.205
_cell_angle_alpha 90.00
_cell_angle_beta 110.80
_cell_angle_gamma 90.00
_space_group_name_H-M_alt 'C 1 2/m 1'
_space_group_IT_number 12
_space_group_name_Hall '-C 2y'
loop_
_atom_site_label
_atom_site_fract_x
_atom_site_fract_y
_atom_site_fract_z
Na1 0.000 0.000 0.000
Na2 0.142 0.000 0.430
Tl1 0.217 0.500 0.150
In1 0.073 0.500 0.716
```

Summary:
- energy above the lowest structure with this stoichiometry (eV/f.u.) = 0.00
- M_tot (μB per formula unit) = 0.00
- energy of formation (meV per atom) = -106


CrTeP2: relaxed, PBE.

CIF file:
```
data_CrTeP2
_cell_length_a 5.832
_cell_length_b 7.155
_cell_length_c 3.472
_cell_angle_alpha 90.00
_cell_angle_beta 90.00
_cell_angle_gamma 90.00
_space_group_name_H-M_alt 'C m m m'
_space_group_IT_number 65
_space_group_name_Hall '-C 2 2'
loop_
_atom_site_label
_atom_site_fract_x
_atom_site_fract_y
_atom_site_fract_z
Cr1 0.000 0.000 0.000
Te1 0.000 0.500 0.000
P1 0.250 0.250 0.500
```

Summary:
- M_tot (μB per formula unit) = 3.39
- formation energy (no corrections) (kcal/mol of atoms) = 13.1


SrNdCu10: relaxed, PBE.

CIF file:
```
data_SrNdCu10
_cell_length_a 4.035
_cell_length_b 5.255
_cell_length_c 8.995
_cell_angle_alpha 90.00
_cell_angle_beta 90.00
_cell_angle_gamma 90.00
_space_group_name_H-M_alt 'P m m m'
_space_group_IT_number 47
_space_group_name_Hall '-P 2 2'
loop_
_atom_site_label
_atom_site_fract_x
_atom_site_fract_y
_atom_site_fract_z
Sr1 0.000 0.000 0.000
Nd1 0.000 0.500 0.500
Cu1 0.000 0.000 0.337
Cu2 0.000 0.500 0.171
Cu3 0.500 0.000 0.500
Cu4 0.500 0.255 0.257
Cu5 0.500 0.500 0.000
```

Summary:
- M_tot (μB per formula unit) = 0.00
- energy of formation (meV per atom) = -116


PmInNi3: relaxed, PBE.

CIF file:
```
data_PmInNi3
_cell_length_a 3.850
_cell_length_b 23.568
_cell_length_c 3.925
_cell_angle_alpha 90.00
_cell_angle_beta 90.00
_cell_angle_gamma 90.00
_space_group_name_H-M_alt 'C m c m'
_space_group_IT_number 63
_space_group_name_Hall '-C 2c 2'
loop_
_atom_site_label
_atom_site_fract_x
_atom_site_fract_y
_atom_site_fract_z
Pm1 0.000 0.077 0.250
In1 0.000 0.205 0.750
Ni1 0.000 0.318 0.750
Ni2 0.000 0.375 0.250
Ni3 0.000 0.474 0.250
```

Summary:
- M_tot (μB per formula unit) = 0.00
- energy of formation (meV per atom) = -215


Ti3CdSb: relaxed, PBE.

CIF file:
```
data_Ti3CdSb
_cell_length_a 5.016
_cell_length_b 5.016
_cell_length_c 5.016
_cell_angle_alpha 90.00
_cell_angle_beta 90.00
_cell_angle_gamma 90.00
_space_group_name_H-M_alt 'P m -3 m'
_space_group_IT_number 221
_space_group_name_Hall '-P 4 2 3'
loop_
_atom_site_label
_atom_site_fract_x
_atom_site_fract_y
_atom_site_fract_z
Ti1 0.000 0.000 0.500
Cd1 0.500 0.500 0.500
Sb1 0.000 0.000 0.000
```

Summary:
- energy above the lowest structure with this stoichiometry (eV/f.u.) = 0.00
- M_tot (μB per formula unit) = 1.00
- formation energy (no corrections) (kcal/mol of atoms) = 16.3


PmEr7Tm3: relaxed, PBE.

CIF file:
```
data_PmEr7Tm3
_cell_length_a 12.441
_cell_length_b 11.079
_cell_length_c 5.715
_cell_angle_alpha 90.00
_cell_angle_beta 117.27
_cell_angle_gamma 90.00
_space_group_name_H-M_alt 'C 1 2/m 1'
_space_group_IT_number 12
_space_group_name_Hall '-C 2y'
loop_
_atom_site_label
_atom_site_fract_x
_atom_site_fract_y
_atom_site_fract_z
Pm1 0.000 0.000 0.000
Er1 0.000 0.000 0.500
Er2 0.205 0.305 0.205
Er3 0.207 0.500 0.706
Tm1 0.000 0.295 0.500
Tm2 0.000 0.500 0.000
```

Summary:
- energy above the lowest structure with this stoichiometry (eV/f.u.) = 1.28
- M_tot (μB per formula unit) = 0.00
- energy of formation (meV per atom) = 270


YMg2SnO: relaxed, PBE.

CIF file:
```
data_YMg2SnO
_cell_length_a 4.505
_cell_length_b 4.505
_cell_length_c 4.738
_cell_angle_alpha 90.00
_cell_angle_beta 90.00
_cell_angle_gamma 90.00
_space_group_name_H-M_alt 'P 4/m m m'
_space_group_IT_number 123
_space_group_name_Hall '-P 4 2'
loop_
_atom_site_label
_atom_site_fract_x
_atom_site_fract_y
_atom_site_fract_z
Y1 0.000 0.000 0.000
Mg1 0.000 0.500 0.500
Sn1 0.500 0.500 0.000
O1 0.000 0.000 0.500
```

Summary:
- M_tot (μB per formula unit) = 0.00
- formation energy (no corrections) (kcal/mol of atoms) = -28.1


NaGe3Rh: relaxed, PBE.

CIF file:
```
data_NaGe3Rh
_cell_length_a 4.817
_cell_length_b 4.817
_cell_length_c 4.817
_cell_angle_alpha 90.00
_cell_angle_beta 90.00
_cell_angle_gamma 90.00
_space_group_name_H-M_alt 'P m -3 m'
_space_group_IT_number 221
_space_group_name_Hall '-P 4 2 3'
loop_
_atom_site_label
_atom_site_fract_x
_atom_site_fract_y
_atom_site_fract_z
Na1 0.000 0.000 0.000
Ge1 0.000 0.000 0.500
Rh1 0.500 0.500 0.500
```

Summary:
- energy above the lowest structure with this stoichiometry (eV/f.u.) = 7.46
- M_tot (μB per formula unit) = 0.00
- energy of formation (meV per atom) = 1343


Rb3PrSm2Se6: relaxed, PBE.

CIF file:
```
data_Rb3PrSm2Se6
_cell_length_a 7.543
_cell_length_b 13.064
_cell_length_c 8.407
_cell_angle_alpha 90.00
_cell_angle_beta 107.41
_cell_angle_gamma 90.00
_space_group_name_H-M_alt 'C 1 2/m 1'
_space_group_IT_number 12
_space_group_name_Hall '-C 2y'
loop_
_atom_site_label
_atom_site_fract_x
_atom_site_fract_y
_atom_site_fract_z
Rb1 0.000 0.000 0.000
Rb2 0.000 0.334 0.000
Pr1 0.000 0.500 0.500
Sm1 0.000 0.167 0.500
Se1 0.229 0.000 0.700
Se2 0.236 0.331 0.700
```

Summary:
- M_tot (μB per formula unit) = 0.00
- formation energy (no corrections) (kcal/mol of atoms) = -40.0


Ce8GeAs5: relaxed, PBE.

CIF file:
```
data_Ce8GeAs5
_cell_length_a 8.901
_cell_length_b 8.901
_cell_length_c 8.905
_cell_angle_alpha 90.00
_cell_angle_beta 90.00
_cell_angle_gamma 90.00
_space_group_name_H-M_alt 'I -4'
_space_group_IT_number 82
_space_group_name_Hall 'I -4'
loop_
_atom_site_label
_atom_site_fract_x
_atom_site_fract_y
_atom_site_fract_z
Ce1 0.068 0.176 0.305
Ce2 0.072 0.320 0.946
Ge1 0.000 0.500 0.250
As1 0.000 0.000 0.000
As2 0.126 0.252 0.625
```

Summary:
- M_tot (μB per formula unit) = 6.81
- energy of formation (meV per atom) = -1109